VASP calculation (PBE) on a relaxed structure of Mg4CdHg3.

Cell: 3.502 4.940 9.914 Å, 90.00 90.00 90.00°
Space group Pmmm (No. 47)
Asymmetric unit:
Mg 0.000 0.000 0.000 [1 per cell]
Mg 0.000 0.000 0.500 [1 per cell]
Mg 0.000 0.500 0.245 [2 per cell]
Cd 0.500 0.500 0.500 [1 per cell]
Hg 0.500 0.000 0.255 [2 per cell]
Hg 0.500 0.500 0.000 [1 per cell]

Values from the calculation:
DOS(E_F) (states/eV/f.u.): 2.92
Formation enthalpy at 0 K (eV per atom): -0.19
Energy (eV/atom): -1.210

---

VASP calculation (PBE) on a relaxed structure of Mg2Cd3Hg6.

Cell: 16.924 3.430 10.527 Å, 90.00 117.39 90.00°
Space group C2/m (No. 12)
Asymmetric unit:
Mg 0.171 0.000 0.371 [4 per cell]
Cd 0.000 0.000 0.000 [2 per cell]
Cd 0.182 0.500 0.876 [4 per cell]
Hg 0.018 0.000 0.706 [4 per cell]
Hg 0.134 0.500 0.567 [4 per cell]
Hg 0.169 0.500 0.149 [4 per cell]

Values from the calculation:
DOS(E_F) (states/eV/f.u.): 3.69
ΔE to the lowest computed polymorph (eV per atom): 0.000
Formation enthalpy at 0 K (eV per atom): -0.04
Energy (eV/atom): -0.739

---

VASP calculation (PBE) on a relaxed structure of MgCd12Hg7.

Cell: 15.0369 15.0369 7.4446 Å, 90.00 90.00 120.00°
Space group R-3 (No. 148, hexagonal axes)
Asymmetric unit:
Mg 0.0000 0.0000 0.0000 [3 per cell]
Cd 0.0217 0.2689 0.8151 [18 per cell]
Cd 0.0717 0.5527 0.1681 [18 per cell]
Hg 0.0000 0.0000 0.5000 [3 per cell]
Hg 0.0086 0.1708 0.1732 [18 per cell]

Values from the calculation:
DOS(E_F) (states/eV/f.u.): 6.73
ΔE to the lowest computed polymorph (eV per atom): 0.006
Formation enthalpy at 0 K (eV per atom): 0.02
Energy (eV/atom): -0.718

---

VASP calculation (PBE) on a relaxed structure of MgCd7Hg3.

Cell: 6.2772 6.2772 7.7497 Å, 90.00 90.00 120.00°
Space group P3m1 (No. 156)
Asymmetric unit:
Mg 0.0000 0.0000 0.0000 [1 per cell]
Cd 0.0085 0.5043 0.9966 [3 per cell]
Cd 0.1689 0.3377 0.3411 [3 per cell]
Cd 0.6667 0.3333 0.3255 [1 per cell]
Hg 0.3327 0.1663 0.6718 [3 per cell]

Values from the calculation:
DOS(E_F) (states/eV/f.u.): 2.53
ΔE to the lowest computed polymorph (eV per atom): 0.000
Formation enthalpy at 0 K (eV per atom): 0.00
Energy (eV/atom): -0.812

---

VASP calculation (PBE) on a relaxed structure of Mg3Cd4Hg.

Cell: 23.292 3.170 4.992 Å, 90.00 99.03 90.00°
Space group C2/m (No. 12)
Asymmetric unit:
Mg 0.000 0.000 0.000 [2 per cell]
Mg 0.230 0.000 0.236 [4 per cell]
Cd 0.112 0.500 0.151 [4 per cell]
Cd 0.151 0.000 0.680 [4 per cell]
Hg 0.000 0.500 0.500 [2 per cell]

Values from the calculation:
DOS(E_F) (states/eV/f.u.): 2.77
Formation enthalpy at 0 K (eV per atom): -0.05
Energy (eV/atom): -1.140

---

VASP calculation (PBE) on a relaxed structure of Mg5CdHg8.

Cell: 8.621 8.621 8.739 Å, 90.00 90.00 90.00°
Space group I-4 (No. 82)
Asymmetric unit:
Mg 0.000 0.000 0.000 [2 per cell]
Mg 0.125 0.226 0.603 [8 per cell]
Cd 0.000 0.500 0.250 [2 per cell]
Hg 0.071 0.331 0.932 [8 per cell]
Hg 0.094 0.168 0.277 [8 per cell]

Values from the calculation:
DOS(E_F) (states/eV/f.u.): 5.67
Formation enthalpy at 0 K (eV per atom): -0.12
Energy (eV/atom): -0.930

---

VASP calculation (PBE) on a relaxed structure of MgCd2Hg.

Cell: 3.343 4.569 6.022 Å, 90.00 98.66 90.00°
Space group Pm (No. 6)
Asymmetric unit:
Mg 0.000 0.000 0.000 [1 per cell]
Cd 0.289 0.000 0.511 [1 per cell]
Cd 0.746 0.500 0.326 [1 per cell]
Hg 0.460 0.500 0.832 [1 per cell]

Values from the calculation:
DOS(E_F) (states/eV/f.u.): 1.39
ΔE to the lowest computed polymorph (eV per atom): 0.016
Formation enthalpy at 0 K (eV per atom): -0.06
Energy (eV/atom): -0.995

---

VASP calculation (PBE) on a relaxed structure of Mg3Cd2Hg5.

Cell: 10.170 13.760 6.693 Å, 90.00 99.91 90.00°
Space group C2/c (No. 15)
Asymmetric unit:
Mg 0.000 0.038 0.250 [4 per cell]
Mg 0.148 0.362 0.597 [8 per cell]
Cd 0.126 0.267 0.126 [8 per cell]
Hg 0.000 0.469 0.250 [4 per cell]
Hg 0.113 0.158 0.605 [8 per cell]
Hg 0.227 0.056 0.024 [8 per cell]

Values from the calculation:
DOS(E_F) (states/eV/f.u.): 1.38
ΔE to the lowest computed polymorph (eV per atom): 0.000
Formation enthalpy at 0 K (eV per atom): -0.10
Energy (eV/atom): -0.911

---

VASP calculation (PBE) on a relaxed structure of Mg2Cd2Hg3.

Cell: 13.115 3.377 7.518 Å, 90.00 106.00 90.00°
Space group C2/m (No. 12)
Asymmetric unit:
Mg 0.078 0.000 0.242 [4 per cell]
Cd 0.127 0.500 0.932 [4 per cell]
Hg 0.000 0.500 0.500 [2 per cell]
Hg 0.224 0.000 0.667 [4 per cell]

Values from the calculation:
DOS(E_F) (states/eV/f.u.): 1.77
ΔE to the lowest computed polymorph (eV per atom): 0.011
Formation enthalpy at 0 K (eV per atom): -0.08
Energy (eV/atom): -0.923

---

VASP calculation (PBE) on a relaxed structure of Mg2CdHg.

Cell: 5.846 3.392 9.322 Å, 90.00 102.04 90.00°
Space group Cm (No. 8)
Asymmetric unit:
Mg 0.000 0.000 0.000 [2 per cell]
Mg 0.170 0.000 0.512 [2 per cell]
Cd 0.420 0.000 0.256 [2 per cell]
Hg 0.085 0.500 0.757 [2 per cell]

Values from the calculation:
DOS(E_F) (states/eV/f.u.): 1.28
ΔE to the lowest computed polymorph (eV per atom): 0.058
Formation enthalpy at 0 K (eV per atom): -0.11
Energy (eV/atom): -1.210